First-principles (PBE-GGA) data for a relaxed structure of In2CuOs, as listed in the Alexandria database.

Unit cell a=4.6738 b=4.6738 c=3.1954 alpha=90.00 beta=90.00 gamma=99.79
Sites, in units of the cell vectors:
Cu  0.0000  0.5000  0.5000
In  0.5000  0.5000  0.0000
In  0.0000  0.0000  0.0000
Os  0.5000  0.0000  0.5000

Properties
Total magnetic moment, μB per cell: 0.00
Formation energy from the elements, eV/atom: 0.332
SG: Cmmm (65)

First-principles (PBE-GGA) data for a relaxed structure of TiNbPd2O, as listed in the Alexandria database.

Unit cell a=4.3644 b=3.9241 c=4.3644 alpha=90.00 beta=90.00 gamma=90.00
Sites, in units of the cell vectors:
O  0.0000  0.0000  0.0000
Pd  0.5000  0.0000  0.0000
Ti  0.0000  0.5000  0.0000
Nb  0.5000  0.5000  0.5000
Pd  0.0000  0.0000  0.5000

Properties
Uncorrected formation energy, eV per atom: -0.41
Total magnetic moment, μB per cell: 0.00
SG: P4/mmm (123)

First-principles (PBE-GGA) data for a relaxed structure of Ba2BeCd, as listed in the Alexandria database.

Unit cell a=5.8321 b=5.8321 c=5.8321 alpha=60.00 beta=60.00 gamma=60.00
Sites, in units of the cell vectors:
Ba  0.2500  0.2500  0.2500
Ba  0.7500  0.7500  0.7500
Cd  0.5000  0.5000  0.5000
Be  0.0000  0.0000  0.0000

Properties
Total magnetic moment, μB per cell: 0.00
E above lowest polymorph, meV per atom: 88.2
Formation energy from the elements, eV/atom: 0.172
SG: Fm-3m (225)

First-principles (PBE-GGA) data for a relaxed structure of PmPrHo2In4, as listed in the Alexandria database.

Unit cell a=5.3868 b=5.3868 c=9.3479 alpha=73.25 beta=73.25 gamma=60.00
Sites, in units of the cell vectors:
In  0.1257  0.1257  0.6230
In  0.6244  0.6244  0.1269
Pm  0.5000  0.5000  0.5000
In  0.8743  0.8743  0.3770
Ho  0.7501  0.7501  0.7498
Ho  0.2499  0.2499  0.2502
Pr  0.0000  0.0000  0.0000
In  0.3756  0.3756  0.8731

Properties
Total magnetic moment, μB per cell: 0.00
Formation energy from the elements, eV/atom: -0.471
SG: R-3m (166)

First-principles (PBE-GGA) data for a relaxed structure of SrPrCdIn, as listed in the Alexandria database.

Unit cell a=3.9268 b=3.9268 c=8.1830 alpha=90.00 beta=90.00 gamma=90.00
Sites, in units of the cell vectors:
In  0.5000  0.5000  0.1238
Pr  0.0000  0.0000  0.3583
Cd  0.5000  0.5000  0.5906
Sr  0.0000  0.0000  0.8553

Properties
Total magnetic moment, μB per cell: 0.00
E above lowest polymorph, meV per atom: 0.0
Formation energy from the elements, eV/atom: -0.393
SG: P4mm (99)

First-principles (PBE-GGA) data for a relaxed structure of LiTlSe2O6, as listed in the Alexandria database.

Unit cell a=8.0201 b=8.0201 c=6.6761 alpha=110.02 beta=110.02 gamma=91.51
Sites, in units of the cell vectors:
O  0.9464  0.2877  0.1826
O  0.2877  0.9464  0.6826
Se  0.1622  0.3189  0.3684
Tl  0.2307  0.7693  0.2500
Se  0.6811  0.8378  0.1316
Tl  0.7693  0.2307  0.7500
Se  0.3189  0.1622  0.8684
O  0.8174  0.7250  0.2775
Li  0.7245  0.2755  0.2500
Se  0.8378  0.6811  0.6316
O  0.7485  0.4629  0.5488
O  0.4629  0.7485  0.0488
O  0.5371  0.2515  0.9512
O  0.2750  0.1826  0.2225
O  0.0536  0.7123  0.8174
O  0.1826  0.2750  0.7225
O  0.7123  0.0536  0.3174
O  0.7250  0.8174  0.7775
O  0.2515  0.5371  0.4512
Li  0.2755  0.7245  0.7500

Properties
Uncorrected formation energy, eV per atom: -0.89
Total magnetic moment, μB per cell: 0.00
SG: C2/c (15)

Number 1: E -0.3579 Ry/atom. Number 2: E -0.5197 Ry/atom. Number 3: E -0.1433 Ry/atom. Number 4: E -0.3069 Ry/atom. Number 5: E -0.2148 Ry/atom. Number 6: E -0.3664 Ry/atom.